Compound: Tc3HgSb
Source: Alexandria via LeMat-Bulk
Functional: PBE-GGA
Structure: optimized geometry

Cell and atoms, written as POSCAR:
```
Tc3HgSb
1.0
4.877 0.000 0.000
0.000 4.877 0.000
0.000 0.000 4.877
Hg Tc Sb
1 3 1
direct
0.500 0.500 0.500
0.000 0.500 0.000
0.500 0.000 0.000
0.000 0.000 0.500
0.000 0.000 0.000
```

Summary:
SG = Pm-3m
density of states at the Fermi level = 9.9 states/eV per cell
formation energy (no corrections) = 1787 meV/atom
relative energy among the computed polymorphs = 0.00 eV/f.u.